Compound: PaAg7Se6
Source: the Alexandria database
Functional: PBE
Structure: relaxed

Geometry as POSCAR:
```
PaAg7Se6
1.0
3.7889 2.1875 6.9139
-3.7889 2.1875 6.9139
0.0000 -4.3750 6.9139
Pa Ag Se
1 7 6
Cartesian
0.0000 0.0000 0.0000
-2.8311 -0.5283 10.9184
-0.9622 -2.1903 9.4568
-1.4158 1.9284 9.4568
0.0000 0.0000 11.4172
1.8731 -2.1877 10.9184
2.3780 0.2619 9.4568
0.9581 2.7160 10.9184
-2.6912 -0.0124 8.3027
-1.3341 -2.2152 12.3670
1.3564 -2.3245 8.3027
-1.2514 2.2630 12.3670
1.3349 2.3369 8.3027
2.5855 -0.0478 12.3670
```

Calculated values
As for the crystal system: trigonal. The uncorrected energy is -4.00 eV per atom. As for the mass density: 7.1 g cm⁻³. For the uncorrected formation energy, the calculation gives -0.40 eV per atom. The total moment comes out at 0.00 μB per cell.


Compound: SrPa2AgSe8
Source: the Alexandria database
Functional: PBE
Structure: relaxed

Geometry as POSCAR:
```
SrPa2AgSe8
1.0
6.3967 0.0000 0.0000
-3.1983 5.5397 0.0000
0.0000 0.0000 8.5767
Sr Pa Ag Se
1 2 1 8
Cartesian
0.0000 0.0000 0.0000
0.0000 3.6931 3.3093
3.1983 1.8466 5.2674
0.0000 0.0000 4.2883
0.0000 2.0002 5.8668
-1.4661 4.5396 5.8668
0.0000 3.6931 0.6852
1.7322 1.0001 2.7099
1.4661 4.5396 5.8668
3.1983 1.8466 7.8915
4.6645 1.0001 2.7099
3.1983 3.5395 2.7099
```

Calculated values
As for the crystal system: trigonal. The uncorrected energy is -5.11 eV per atom. As for the mass density: 7.0 g cm⁻³. For the uncorrected formation energy, the calculation gives -0.82 eV per atom. The total moment comes out at 0.44 μB per cell.


Compound: PaTa2Ag2Se6
Source: the Alexandria database
Functional: PBE
Structure: relaxed

Geometry as POSCAR:
```
PaTa2Ag2Se6
1.0
3.3126 -5.6225 0.0000
3.3126 5.6225 0.0000
-0.2068 0.0000 7.1285
Pa Ta Ag Se
1 2 2 6
Cartesian
0.0000 0.0000 0.0000
3.3126 1.4445 0.0000
3.3126 -1.4445 0.0000
3.2092 4.2159 3.5643
3.2092 -4.2159 3.5643
1.2407 2.1097 1.4673
2.0426 0.0000 5.2902
1.2407 -2.1097 1.4673
5.1778 2.1097 5.6612
4.3759 0.0000 1.8383
5.1778 -2.1097 5.6612
```

Calculated values
As for the crystal system: monoclinic. The uncorrected energy is -6.11 eV per atom. As for the mass density: 8.0 g cm⁻³. For the uncorrected formation energy, the calculation gives -0.67 eV per atom. The total moment comes out at 0.89 μB per cell.


Compound: Tb3PaAg3Se8
Source: the Alexandria database
Functional: PBE
Structure: relaxed

Geometry as POSCAR:
```
Tb3PaAg3Se8
1.0
6.8610 -4.1991 0.0000
6.8610 4.1991 0.0000
-4.3199 0.0000 6.8122
Tb Pa Ag Se
3 1 3 8
Cartesian
0.0000 0.0000 0.0000
1.2706 2.0995 3.4061
1.2706 -2.0995 3.4061
6.8610 0.0000 0.0000
3.4305 2.0995 0.0000
3.4305 -2.0995 0.0000
4.7011 0.0000 3.4061
3.5860 2.0945 5.1325
2.3439 0.0000 1.7124
0.2296 0.0000 5.0942
5.8161 2.0945 1.6797
3.5860 -2.0945 5.1325
9.1725 0.0000 1.7180
7.0582 0.0000 5.0998
5.8161 -2.0945 1.6797
```

Calculated values
As for the crystal system: monoclinic. The uncorrected energy is -5.19 eV per atom. As for the mass density: 7.0 g cm⁻³. For the uncorrected formation energy, the calculation gives -1.20 eV per atom. The total moment comes out at 1.05 μB per cell.


Copy entry 2 word for word.
Compound: SrPa2AgSe8
Source: the Alexandria database
Functional: PBE
Structure: relaxed

Geometry as POSCAR:
```
SrPa2AgSe8
1.0
6.3967 0.0000 0.0000
-3.1983 5.5397 0.0000
0.0000 0.0000 8.5767
Sr Pa Ag Se
1 2 1 8
Cartesian
0.0000 0.0000 0.0000
0.0000 3.6931 3.3093
3.1983 1.8466 5.2674
0.0000 0.0000 4.2883
0.0000 2.0002 5.8668
-1.4661 4.5396 5.8668
0.0000 3.6931 0.6852
1.7322 1.0001 2.7099
1.4661 4.5396 5.8668
3.1983 1.8466 7.8915
4.6645 1.0001 2.7099
3.1983 3.5395 2.7099
```

Calculated values
As for the crystal system: trigonal. The uncorrected energy is -5.11 eV per atom. As for the mass density: 7.0 g cm⁻³. For the uncorrected formation energy, the calculation gives -0.82 eV per atom. The total moment comes out at 0.44 μB per cell.